Entry 1:
Here is a relaxed KLaPb crystal from Alexandria. Energies are from PBE-GGA.

Values from the calculation:
- E above lowest polymorph (meV/atom) = 61
- calculated density (g cm⁻³) = 6.120

a = 6.349 Å, b = 6.349 Å, c = 6.349 Å
α = 146.00°, β = 132.50°, γ = 59.69°
Sites, in units of the cell vectors:
1 Pb 0.674 0.674 0.000
2 La 0.318 0.318 0.000
3 K 0.008 0.008 0.000

Entry 2:
Here is a relaxed KLaPb crystal from Alexandria. Energies are from PBE-GGA.

Values from the calculation:
- E above lowest polymorph (meV/atom) = 0
- calculated density (g cm⁻³) = 5.336

a = 8.979 Å, b = 8.979 Å, c = 3.738 Å
α = 77.99°, β = 77.99°, γ = 24.02°
Sites, in units of the cell vectors:
1 La 0.301 0.301 0.699
2 K 0.023 0.023 0.977
3 Pb 0.676 0.676 0.324

It is found that the E_form values, taken in the order of the records, are -76 -138 meV per atom.